The following is a PBE calculation of a relaxed structure of Li2Be, from Alexandria via LeMat-Bulk.

Cell lengths 7.614, 7.614, 4.457 Å; angles 90.00, 90.00, 162.52 degrees
Positions (direct):
1 Li 0.043 0.957 0.750
2 Li 0.288 0.712 0.250
3 Li 0.712 0.288 0.750
4 Li 0.957 0.043 0.250
5 Be 0.377 0.623 0.750
6 Be 0.623 0.377 0.250

distance to the lowest polymorph of the same formula: 0.125 eV/atom
mass density: 0.979 g/cm³
calculated volume: 77.63 Å³/cell
E: -2.292 eV per atom



The following is a PBE calculation of a relaxed structure of Li2Be, from Alexandria via LeMat-Bulk.

Cell lengths 2.612, 5.095, 7.031 Å; angles 110.46, 90.15, 104.53 degrees
Positions (direct):
1 Li 0.027 0.054 0.208
2 Li 0.335 0.663 0.371
3 Li 0.665 0.337 0.629
4 Li 0.973 0.946 0.792
5 Be 0.317 0.637 0.957
6 Be 0.683 0.363 0.043

distance to the lowest polymorph of the same formula: 0.073 eV/atom
mass density: 0.900 g/cm³
calculated volume: 84.45 Å³/cell
E: -2.344 eV per atom



The following is a PBE calculation of a relaxed structure of Li2Be, from Alexandria via LeMat-Bulk.

Cell lengths 5.375, 5.375, 6.359 Å; angles 101.95, 101.95, 26.60 degrees
Positions (direct):
1 Li 0.118 0.118 0.024
2 Li 0.190 0.190 0.646
3 Li 0.810 0.810 0.354
4 Li 0.882 0.882 0.976
5 Be 0.472 0.472 0.663
6 Be 0.528 0.528 0.337

distance to the lowest polymorph of the same formula: 0.133 eV/atom
mass density: 0.946 g/cm³
calculated volume: 80.36 Å³/cell
E: -2.284 eV per atom



The following is a PBE calculation of a relaxed structure of Li2Be, from Alexandria via LeMat-Bulk.

Cell lengths 4.587, 4.587, 4.587 Å; angles 150.60, 124.18, 64.34 degrees
Positions (direct):
1 Li 0.164 0.164 0.000
2 Li 0.836 0.836 0.000
3 Be 0.500 0.500 0.000

distance to the lowest polymorph of the same formula: 0.130 eV/atom
mass density: 0.979 g/cm³
calculated volume: 38.83 Å³/cell
E: -2.287 eV per atom



The following is a PBE calculation of a relaxed structure of Li3Be, from Alexandria via LeMat-Bulk.

Cell lengths 5.346, 5.346, 5.346 Å; angles 150.07, 128.84, 60.41 degrees
Positions (direct):
1 Li 0.000 0.000 0.000
2 Li 0.268 0.768 0.500
3 Li 0.732 0.232 0.500
4 Be 0.500 0.500 0.000

distance to the lowest polymorph of the same formula: 0.066 eV/atom
mass density: 0.841 g/cm³
calculated volume: 58.90 Å³/cell
E: -2.136 eV per atom



The following is a PBE calculation of a relaxed structure of LiBe2, from Alexandria via LeMat-Bulk.

Cell lengths 3.739, 3.739, 3.739 Å; angles 108.31, 108.31, 111.81 degrees
Positions (direct):
1 Li 0.000 0.000 0.000
2 Be 0.250 0.750 0.500
3 Be 0.750 0.250 0.500

distance to the lowest polymorph of the same formula: 0.726 eV/atom
mass density: 1.032 g/cm³
calculated volume: 40.19 Å³/cell
E: -2.316 eV per atom



The following is a PBE calculation of a relaxed structure of Li7Be6, from Alexandria via LeMat-Bulk.

Cell lengths 8.678, 8.678, 8.678 Å; angles 30.53, 30.53, 30.53 degrees
Positions (direct):
1 Li 0.000 0.000 0.000
2 Li 0.094 0.094 0.576
3 Li 0.094 0.576 0.094
4 Li 0.424 0.906 0.906
5 Li 0.576 0.094 0.094
6 Li 0.906 0.424 0.906
7 Li 0.906 0.906 0.424
8 Be 0.165 0.165 0.165
9 Be 0.353 0.353 0.353
10 Be 0.456 0.456 0.456
11 Be 0.544 0.544 0.544
12 Be 0.647 0.647 0.647
13 Be 0.835 0.835 0.835

mass density: 1.140 g/cm³
calculated volume: 149.49 Å³/cell
E: -2.290 eV per atom



The following is a PBE calculation of a relaxed structure of LiBe2, from Alexandria via LeMat-Bulk.

Cell lengths 5.330, 5.330, 3.781 Å; angles 90.00, 90.00, 120.00 degrees
Positions (direct):
1 Li 0.000 0.000 0.000
2 Li 0.333 0.667 0.500
3 Li 0.667 0.333 0.500
4 Be 0.000 0.225 0.500
5 Be 0.000 0.514 0.000
6 Be 0.225 0.000 0.500
7 Be 0.486 0.486 0.000
8 Be 0.514 0.000 0.000
9 Be 0.775 0.775 0.500

distance to the lowest polymorph of the same formula: 0.393 eV/atom
mass density: 1.337 g/cm³
calculated volume: 93.03 Å³/cell
E: -2.649 eV per atom



Energy of formation from the pure elements readings, ordered: 0.23, 0.17, 0.23, 0.23, 0.23, 0.81, 0.46, 0.47 eV per atom